1.
Below is an optimized crystal structure of MnTcPPdCl, with properties calculated at the GGA-PBE level.

Excess energy over the best structure of this formula in the dataset = 0.089 eV/atom
Density of states at the Fermi level = 0.25 states/eV/f.u.
Raw formation energy = -12.7 kJ per mole of atoms
Calculated density = 6.10 Mg/m³
Space group = No. 6
Size of the total moment = 0.0 μB per formula unit

Cell lengths 3.4733, 3.5130, 7.3370 Å; angles 90.00, 98.03, 90.00 degrees
Last column: nearest neighbours and their distance in Å.
Positions (direct):
P: 0.0020 0.5000 0.9242  2 Mn 2.23, 1 Pd 2.29, 2 Tc 2.36
Tc: 0.7981 0.0000 0.1023  1 Mn 2.06
Mn: 0.3711 0.0000 0.8765  1 Tc 2.06, 2 P 2.23
Cl: 0.4541 0.0000 0.3743  1 Tc 2.47, 2 Pd 2.68
Pd: 0.5902 0.5000 0.6513  1 P 2.29

---

2.
Below is an optimized crystal structure of CdTeI2N, with properties calculated at the GGA-PBE level.

Excess energy over the best structure of this formula in the dataset = 0.178 eV/atom
Density of states at the Fermi level = 1.93 states/eV/f.u.
Raw formation energy = 75.2 kJ per mole of atoms
Calculated density = 6.66 Mg/m³
Space group = No. 123
Size of the total moment = 0.0 μB per formula unit

Cell lengths 4.9691, 4.9691, 5.1282 Å; angles 90.00, 90.00, 90.00 degrees
Last column: nearest neighbours and their distance in Å.
Positions (direct):
Te: 0.0000 0.0000 0.5000  2 N 2.56
N: 0.0000 0.0000 0.0000  4 I 2.48, 2 Te 2.56
Cd: 0.5000 0.5000 0.5000  4 Te 3.51, 8 I 3.57
I: 0.5000 0.0000 0.0000  2 N 2.48
I: 0.0000 0.5000 0.0000  2 N 2.48

---

3.
Below is an optimized crystal structure of LiCuBiS3, with properties calculated at the GGA-PBE level.

Density of states at the Fermi level = 2.98 states/eV/f.u.
Raw formation energy = -44.9 kJ per mole of atoms
Calculated density = 4.87 Mg/m³
Space group = No. 11
Size of the total moment = 0.0 μB per formula unit

Cell lengths 3.8512, 7.9566, 8.7194 Å; angles 106.40, 90.00, 90.00 degrees
Last column: nearest neighbours and their distance in Å.
Positions (direct):
Bi: 0.2500 0.2084 0.1791  3 S 2.65-2.69
Bi: 0.7500 0.7916 0.8209  3 S 2.65-2.69
S: 0.7500 0.9124 0.1372  1 Cu 2.40, 1 Bi 2.65, 2 Li 2.68
S: 0.7500 0.2045 0.5251  3 Cu 2.25-2.30
S: 0.7500 0.4359 0.1565  3 Li 2.56-2.76, 2 Bi 2.69
S: 0.2500 0.5641 0.8435  3 Li 2.56-2.76, 2 Bi 2.69
S: 0.2500 0.7955 0.4749  3 Cu 2.25-2.30
S: 0.2500 0.0876 0.8628  1 Cu 2.40, 1 Bi 2.65, 2 Li 2.68
Li: 0.2500 0.6813 0.1483  6 S 2.56-2.76
Li: 0.7500 0.3187 0.8517  6 S 2.56-2.76
Cu: 0.7500 0.9062 0.4108  4 S 2.25-2.40
Cu: 0.2500 0.0938 0.5892  4 S 2.25-2.40

---

4.
Below is an optimized crystal structure of Sr3GaGe3, with properties calculated at the GGA-PBE level.

Excess energy over the best structure of this formula in the dataset = 0.293 eV/atom
Density of states at the Fermi level = 8.71 states/eV/f.u.
Calculated density = 3.85 Mg/m³
Formation energy from the elements = -0.263 eV/atom
Space group = No. 176
Size of the total moment = 0.7 μB per formula unit

Cell lengths 6.4084, 9.2515, 9.2515 Å; angles 120.00, 90.00, 90.00 degrees
Last column: nearest neighbours and their distance in Å.
Positions (direct):
Ge: 0.7500 0.0694 0.6770  1 Ga 2.49
Ge: 0.2500 0.6770 0.6076  1 Ga 2.49
Ge: 0.2500 0.9306 0.3230  1 Ga 2.49
Ge: 0.7500 0.6076 0.9306  1 Ga 2.49
Ge: 0.7500 0.3230 0.3924  1 Ga 2.49
Ge: 0.2500 0.3924 0.0694  1 Ga 2.49
Sr: 0.2500 0.0660 0.7132  5 Ge 3.17-3.22
Sr: 0.2500 0.2868 0.3528  5 Ge 3.17-3.22
Sr: 0.2500 0.6472 0.9340  5 Ge 3.17-3.22
Sr: 0.7500 0.9340 0.2868  5 Ge 3.17-3.22
Sr: 0.7500 0.7132 0.6472  5 Ge 3.17-3.22
Sr: 0.7500 0.3528 0.0660  5 Ge 3.17-3.22
Ga: 0.2500 0.6667 0.3333  3 Ge 2.49
Ga: 0.7500 0.3333 0.6667  3 Ge 2.49

---

5.
Below is an optimized crystal structure of Ba2SrInNi, with properties calculated at the GGA-PBE level.

Excess energy over the best structure of this formula in the dataset = 0.000 eV/atom
Density of states at the Fermi level = 4.97 states/eV/f.u.
Calculated density = 4.58 Mg/m³
Formation energy from the elements = -0.072 eV/atom
Space group = No. 123
Size of the total moment = 0.0 μB per formula unit

Cell lengths 6.1092, 6.1092, 5.2045 Å; angles 90.00, 90.00, 90.00 degrees
Last column: nearest neighbours and their distance in Å.
Positions (direct):
In: 0.0000 0.0000 0.5000  2 Ni 2.60
Sr: 0.5000 0.5000 0.5000  8 Ba 4.01, 4 In 4.32
Ba: 0.5000 0.0000 0.0000  2 Ni 3.05
Ba: 0.0000 0.5000 0.0000  2 Ni 3.05
Ni: 0.0000 0.0000 0.0000  2 In 2.60

---

6.
Below is an optimized crystal structure of SrTbAgIr, with properties calculated at the GGA-PBE level.

Density of states at the Fermi level = 2.43 states/eV/f.u.
Calculated density = 9.63 Mg/m³
Formation energy from the elements = -0.298 eV/atom
Space group = No. 216
Size of the total moment = 0.0 μB per formula unit

Cell lengths 5.1090, 5.1090, 5.1090 Å; angles 60.00, 60.00, 60.00 degrees
Last column: nearest neighbours and their distance in Å.
Positions (direct):
Ag: 0.2500 0.2500 0.2500  4 Tb 3.13, 4 Sr 3.13
Tb: 0.0000 0.0000 0.0000  4 Ir 3.13, 4 Ag 3.13
Ir: 0.7500 0.7500 0.7500  4 Sr 3.13, 4 Tb 3.13
Sr: 0.5000 0.5000 0.5000  4 Ir 3.13, 4 Ag 3.13

---

Among the records above, which one has the lowest density of states at the Fermi level?
MnTcPPdCl

---

Copy entry 1 word for word.
Below is an optimized crystal structure of MnTcPPdCl, with properties calculated at the GGA-PBE level.

Excess energy over the best structure of this formula in the dataset = 0.089 eV/atom
Density of states at the Fermi level = 0.25 states/eV/f.u.
Raw formation energy = -12.7 kJ per mole of atoms
Calculated density = 6.10 Mg/m³
Space group = No. 6
Size of the total moment = 0.0 μB per formula unit

Cell lengths 3.4733, 3.5130, 7.3370 Å; angles 90.00, 98.03, 90.00 degrees
Last column: nearest neighbours and their distance in Å.
Positions (direct):
P: 0.0020 0.5000 0.9242  2 Mn 2.23, 1 Pd 2.29, 2 Tc 2.36
Tc: 0.7981 0.0000 0.1023  1 Mn 2.06
Mn: 0.3711 0.0000 0.8765  1 Tc 2.06, 2 P 2.23
Cl: 0.4541 0.0000 0.3743  1 Tc 2.47, 2 Pd 2.68
Pd: 0.5902 0.5000 0.6513  1 P 2.29